1.
Here is a relaxed NdScHg crystal from Alexandria via LeMat-Bulk. Energies are from PBE.

Cell lengths 6.8505, 6.8505, 6.8505 Å; angles 150.09, 150.09, 42.80 degrees
Last column: nearest neighbours and their distance in Å.
Fractional positions:
Nd1 0.0000 0.0000 0.0000  4 Hg 3.40, 4 Sc 3.47, 4 Nd 3.54
Sc1 0.3109 0.3109 0.0000  4 Hg 3.00
Hg1 0.6809 0.6809 0.0000  4 Sc 3.00

Results
space group	I4mm (107)
relative energy among the computed polymorphs	1.32	kcal/mol of atoms
crystal system	tetragonal
energy of formation	-0.28	eV/atom


2.
Here is a relaxed Cs3Y2PaS6 crystal from Alexandria via LeMat-Bulk. Energies are from PBE.

Cell lengths 7.1003, 7.1003, 8.4341 Å; angles 98.06, 98.06, 119.99 degrees
Last column: nearest neighbours and their distance in Å.
Fractional positions:
Cs1 0.0000 0.0000 0.0000  6 S 3.49-3.51
Cs2 0.3317 0.6683 0.0000  6 S 3.49-3.50
Cs3 0.6683 0.3317 0.0000  6 S 3.49-3.50
Y1 0.1665 0.8335 0.5000  6 S 2.80
Y2 0.8335 0.1665 0.5000  6 S 2.80
Pa1 0.5000 0.5000 0.5000  6 S 2.77
S1 0.1092 0.4392 0.3175  1 Pa 2.77, 2 Y 2.80
S2 0.2312 0.2312 0.6831  1 Pa 2.77, 2 Y 2.80
S3 0.4392 0.1092 0.3175  1 Pa 2.77, 2 Y 2.80
S4 0.5608 0.8908 0.6825  1 Pa 2.77, 2 Y 2.80
S5 0.7688 0.7688 0.3169  1 Pa 2.77, 2 Y 2.80
S6 0.8908 0.5608 0.6825  1 Pa 2.77, 2 Y 2.80

Results
space group	C2/m (12)
uncorrected formation energy	-20.252	eV/f.u.
crystal system	monoclinic


3.
Here is a relaxed Ho6Te3C2S crystal from Alexandria via LeMat-Bulk. Energies are from PBE.

Cell lengths 6.7569, 6.7569, 7.3014 Å; angles 98.86, 98.86, 120.00 degrees
Last column: nearest neighbours and their distance in Å.
Fractional positions:
Ho1 0.0760 0.4349 0.8046  2 C 2.56, 1 S 2.78
Ho2 0.2055 0.2055 0.1913  2 C 2.55, 1 S 2.76
Ho3 0.4349 0.0760 0.8046  2 C 2.56, 1 S 2.78
Ho4 0.5651 0.9240 0.1954  2 C 2.56, 1 S 2.78
Ho5 0.7945 0.7945 0.8087  2 C 2.55, 1 S 2.76
Ho6 0.9240 0.5651 0.1954  2 C 2.56, 1 S 2.78
Te1 0.0000 0.0000 0.5000  6 Ho 2.99-3.16
Te2 0.3401 0.6599 0.5000  6 Ho 3.02-3.16
Te3 0.6599 0.3401 0.5000  6 Ho 3.02-3.16
C1 0.1673 0.8327 0.0000  6 Ho 2.55-2.56
C2 0.8327 0.1673 0.0000  6 Ho 2.55-2.56
S1 0.5000 0.5000 0.0000  6 Ho 2.76-2.78

Results
space group	C2/m (12)
uncorrected formation energy	-14.039	eV/f.u.
crystal system	monoclinic


4.
Here is a relaxed BC2 crystal from Alexandria via LeMat-Bulk. Energies are from PBE.

Cell lengths 2.4871, 2.5160, 12.1582 Å; angles 90.00, 90.00, 90.00 degrees
Last column: nearest neighbours and their distance in Å.
Fractional positions:
B1 0.2500 0.0000 0.0551  2 C 1.66, 2 B 1.83
B2 0.2500 0.0000 0.6972  4 C 1.64-1.67
B3 0.7500 0.0000 0.3028  4 C 1.64-1.67
B4 0.7500 0.0000 0.9449  2 C 1.66, 2 B 1.83
C1 0.2500 0.0000 0.3905  2 C 1.52, 2 B 1.64
C2 0.2500 0.5000 0.1439  2 C 1.50, 2 B 1.66
C3 0.2500 0.5000 0.4605  4 C 1.52-1.57
C4 0.2500 0.5000 0.7878  2 C 1.50, 2 B 1.67
C5 0.7500 0.0000 0.6095  2 C 1.52, 2 B 1.64
C6 0.7500 0.5000 0.2122  2 C 1.50, 2 B 1.67
C7 0.7500 0.5000 0.5395  4 C 1.52-1.57
C8 0.7500 0.5000 0.8561  2 C 1.50, 2 B 1.66

Results
space group	Pmma (51)
relative energy among the computed polymorphs	0.87	kcal/mol of atoms
crystal system	orthorhombic
energy of formation	0.28	eV/atom


5.
Here is a relaxed MnTcHIr2 crystal from Alexandria via LeMat-Bulk. Energies are from PBE.

Cell lengths 3.8416, 3.8416, 3.8564 Å; angles 90.00, 90.00, 90.00 degrees
Last column: nearest neighbours and their distance in Å.
Fractional positions:
Mn1 0.0000 0.0000 0.0000  2 H 1.93
Tc1 0.5000 0.5000 0.0000  4 Mn 2.72, 8 Ir 2.72
H1 0.0000 0.0000 0.5000  4 Ir 1.92, 2 Mn 1.93
Ir1 0.0000 0.5000 0.5000  2 H 1.92
Ir2 0.5000 0.0000 0.5000  2 H 1.92

Results
space group	P4/mmm (123)
total DFT energy (no corrections)	-8.09	eV/atom
crystal system	tetragonal


6.
Here is a relaxed Ti6GeRu5 crystal from Alexandria via LeMat-Bulk. Energies are from PBE.

Cell lengths 7.5844, 7.5844, 7.5844 Å; angles 146.56, 131.56, 60.14 degrees
Last column: nearest neighbours and their distance in Å.
Fractional positions:
Ti1 0.0787 0.3312 0.7475  7 Ru 2.66-2.70, 1 Ge 2.72
Ti2 0.2422 0.0000 0.2422  6 Ru 2.65-2.71, 2 Ge 2.71
Ti3 0.4163 0.6688 0.7475  7 Ru 2.66-2.70, 1 Ge 2.72
Ti4 0.5837 0.3312 0.2525  7 Ru 2.66-2.70, 1 Ge 2.72
Ti5 0.7578 0.0000 0.7578  6 Ru 2.65-2.71, 2 Ge 2.71
Ti6 0.9213 0.6688 0.2525  7 Ru 2.66-2.70, 1 Ge 2.72
Ge1 0.5000 0.5000 0.0000  8 Ti 2.71-2.72
Ru1 0.0000 0.5000 0.5000  8 Ti 2.65-2.70
Ru2 0.1676 0.1676 0.0000  8 Ti 2.66-2.67
Ru3 0.3336 0.8336 0.5000  8 Ti 2.66-2.71
Ru4 0.6664 0.1664 0.5000  8 Ti 2.66-2.71
Ru5 0.8324 0.8324 0.0000  8 Ti 2.66-2.67

Results
space group	Immm (71)
crystal system	orthorhombic
energy of formation	-0.65	eV/atom


7.
Here is a relaxed Tb5PmRu4 crystal from Alexandria via LeMat-Bulk. Energies are from PBE.

Cell lengths 3.4250, 3.4250, 19.3321 Å; angles 90.00, 90.00, 90.00 degrees
Last column: nearest neighbours and their distance in Å.
Fractional positions:
Tb1 0.0000 0.0000 0.0000  8 Ru 2.97
Tb2 0.0000 0.0000 0.1756  8 Ru 2.95-3.03
Tb3 0.0000 0.0000 0.3510  4 Ru 2.89
Tb4 0.0000 0.0000 0.6490  4 Ru 2.89
Tb5 0.0000 0.0000 0.8244  8 Ru 2.95-3.03
Pm1 0.5000 0.5000 0.5000  4 Pm 3.43, 8 Tb 3.76
Ru1 0.5000 0.5000 0.0885  8 Tb 2.95-2.97
Ru2 0.5000 0.5000 0.2695  8 Tb 2.89-3.03
Ru3 0.5000 0.5000 0.7305  8 Tb 2.89-3.03
Ru4 0.5000 0.5000 0.9115  8 Tb 2.95-2.97

Results
space group	P4/mmm (123)
crystal system	tetragonal
energy of formation	-0.26	eV/atom


8.
Here is a relaxed CoHg2Os crystal from Alexandria via LeMat-Bulk. Energies are from PBE.

Cell lengths 2.9056, 4.0201, 5.7654 Å; angles 90.00, 90.18, 90.00 degrees
Last column: nearest neighbours and their distance in Å.
Fractional positions:
Co1 0.0000 0.0000 0.0000  8 Hg 2.85-2.86, 2 Os 2.88, 2 Co 2.91
Hg1 0.4995 0.5000 0.2444  4 Hg 2.82-2.95, 4 Co 2.85-2.86, 4 Os 2.88-2.89
Hg2 0.5005 0.5000 0.7556  4 Hg 2.82-2.95, 4 Co 2.85-2.86, 4 Os 2.88-2.89
Os1 0.0000 0.0000 0.5000  2 Co 2.88, 8 Hg 2.88-2.89, 2 Os 2.91

Results
space group	P2/m (10)
relative energy among the computed polymorphs	9.89	kcal/mol of atoms
crystal system	monoclinic
energy of formation	0.88	eV/atom


9.
Here is a relaxed BaScHg2 crystal from Alexandria via LeMat-Bulk. Energies are from PBE.

Cell lengths 4.8940, 4.8940, 7.9033 Å; angles 112.64, 112.64, 49.25 degrees
Last column: nearest neighbours and their distance in Å.
Fractional positions:
Ba1 0.0000 0.0000 0.0000  6 Hg 3.49-3.65, 1 Sc 3.79
Sc1 0.7903 0.7903 0.4703  6 Hg 2.90-3.08
Hg1 0.1718 0.1718 0.6566  3 Sc 2.96-3.08
Hg2 0.4296 0.4296 0.3175  3 Sc 2.90-2.91

Results
space group	Cm (8)
crystal system	monoclinic
energy of formation	-0.24	eV/atom


10.
Here is a relaxed Ba2CeH12Rh3 crystal from Alexandria via LeMat-Bulk. Energies are from PBE.

Cell lengths 6.3703, 6.3703, 6.3703 Å; angles 66.52, 66.52, 66.52 degrees
Last column: nearest neighbours and their distance in Å.
Fractional positions:
Ba1 0.1147 0.1147 0.1147  3 H 2.44
Ba2 0.8853 0.8853 0.8853  3 H 2.44
Ce1 0.5000 0.5000 0.5000  6 H 2.30
H1 0.0892 0.6249 0.6249  1 Rh 1.68
H2 0.2229 0.2229 0.5846  2 Rh 1.81
H3 0.2229 0.5846 0.2229  2 Rh 1.81
H4 0.3751 0.3751 0.9108  1 Rh 1.68
H5 0.3751 0.9108 0.3751  1 Rh 1.68
H6 0.4154 0.7771 0.7771  2 Rh 1.81
H7 0.5846 0.2229 0.2229  2 Rh 1.81
H8 0.6249 0.0892 0.6249  1 Rh 1.68
H9 0.6249 0.6249 0.0892  1 Rh 1.68
H10 0.7771 0.4154 0.7771  2 Rh 1.81
H11 0.7771 0.7771 0.4154  2 Rh 1.81
H12 0.9108 0.3751 0.3751  1 Rh 1.68
Rh1 0.0000 0.5000 0.5000  6 H 1.68-1.81
Rh2 0.5000 0.0000 0.5000  6 H 1.68-1.81
Rh3 0.5000 0.5000 0.0000  6 H 1.68-1.81

Results
space group	R-3m (166)
total DFT energy (no corrections)	-4.41	eV/atom
crystal system	trigonal


11.
Here is a relaxed AgH3N crystal from Alexandria via LeMat-Bulk. Energies are from PBE.

Cell lengths 3.2704, 3.2704, 3.2704 Å; angles 90.00, 90.00, 90.00 degrees
Last column: nearest neighbours and their distance in Å.
Fractional positions:
Ag1 0.0000 0.0000 0.0000  12 H 2.31
H1 0.0000 0.5000 0.5000  2 N 1.64
H2 0.5000 0.0000 0.5000  2 N 1.64
H3 0.5000 0.5000 0.0000  2 N 1.64
N1 0.5000 0.5000 0.5000  6 H 1.64

Results
space group	Pm-3m (221)
relative energy among the computed polymorphs	28.92	kcal/mol of atoms
crystal system	cubic


12.
Here is a relaxed SbW4 crystal from Alexandria via LeMat-Bulk. Energies are from PBE.

Cell lengths 4.7750, 4.7750, 4.7750 Å; angles 90.00, 90.00, 90.00 degrees
Last column: nearest neighbours and their distance in Å.
Fractional positions:
Sb1 0.0000 0.0000 0.0000  6 W 2.39
W1 0.0000 0.0000 0.5000  2 Sb 2.39
W2 0.0000 0.5000 0.0000  2 Sb 2.39
W3 0.5000 0.0000 0.0000  2 Sb 2.39
W4 0.5000 0.5000 0.5000  12 W 3.38

Results
space group	Pm-3m (221)
uncorrected formation energy	14.343	eV/f.u.
relative energy among the computed polymorphs	17.18	kcal/mol of atoms
crystal system	cubic